# 1
Entry from Alexandria via LeMat-Bulk: a geometry-optimized ErGaRh2 structure (PBE-GGA).

## Properties
Its formation energy is -0.863 eV per atom. The volume is 16.5 Å³ per atom. As for the crystal system: tetragonal. The raw total energy is -25.74 eV/cell.

```
data_ErGaRh2
_cell_length_a 4.3489
_cell_length_b 4.3489
_cell_length_c 3.4871
_cell_angle_alpha 90.00
_cell_angle_beta 90.00
_cell_angle_gamma 90.00
_space_group_name_H-M_alt 'P 4/m m m'
_space_group_IT_number 123
_space_group_name_Hall '-P 4 2'
loop_
_atom_site_label
_atom_site_type_symbol
_atom_site_fract_x
_atom_site_fract_y
_atom_site_fract_z
Er1 Er 0.0000 0.0000 0.0000
Ga1 Ga 0.5000 0.5000 0.0000
Rh1 Rh 0.0000 0.5000 0.5000
```

# 2
Entry from Alexandria via LeMat-Bulk: a geometry-optimized Ca2AlAsPd6 structure (PBE-GGA).

## Properties
Its formation energy is -0.622 eV per atom. The volume is 20.0 Å³ per atom. As for the crystal system: triclinic. The raw total energy is -49.77 eV/cell.

```
data_Ca2AlAsPd6
_cell_length_a 6.4195
_cell_length_b 6.4281
_cell_length_c 6.4348
_cell_angle_alpha 62.92
_cell_angle_beta 63.15
_cell_angle_gamma 63.01
_space_group_name_H-M_alt 'P -1'
_space_group_IT_number 2
loop_
_space_group_symop_operation_xyz
'x,y,z'
'-x,-y,-z'
loop_
_atom_site_label
_atom_site_type_symbol
_atom_site_fract_x
_atom_site_fract_y
_atom_site_fract_z
Ca1 Ca 0.2053 0.2060 0.2049
Al1 Al 0.5000 0.5000 0.5000
As1 As 0.0000 0.0000 0.0000
Pd1 Pd 0.1721 0.3232 0.6409
Pd2 Pd 0.3245 0.6417 0.1706
Pd3 Pd 0.3578 0.8283 0.6762
```

# 3
Entry from Alexandria via LeMat-Bulk: a geometry-optimized AcLaCd structure (PBE-GGA).

## Properties
Its formation energy is 0.045 eV per atom. The volume is 37.2 Å³ per atom. As for the crystal system: triclinic. The raw total energy is -19.63 eV/cell.

```
data_AcLaCd
_cell_length_a 4.0235
_cell_length_b 4.0243
_cell_length_c 13.7777
_cell_angle_alpha 90.11
_cell_angle_beta 90.14
_cell_angle_gamma 90.05
_space_group_name_H-M_alt 'P -1'
_space_group_IT_number 2
loop_
_space_group_symop_operation_xyz
'x,y,z'
'-x,-y,-z'
loop_
_atom_site_label
_atom_site_type_symbol
_atom_site_fract_x
_atom_site_fract_y
_atom_site_fract_z
Ac1 Ac 0.2499 0.2505 0.2190
La1 La 0.2509 0.2506 0.5868
Cd1 Cd 0.2501 0.7500 0.0004
```

# 4
Entry from Alexandria via LeMat-Bulk: a geometry-optimized Cu2RhSeO6 structure (PBE-GGA).

## Properties
The volume is 11.6 Å³ per atom. As for the crystal system: monoclinic. The raw total energy is -219.11 eV/cell.

```
data_Cu2RhSeO6
_cell_length_a 9.7598
_cell_length_b 9.0476
_cell_length_c 5.3026
_cell_angle_alpha 90.00
_cell_angle_beta 98.42
_cell_angle_gamma 90.00
_space_group_name_H-M_alt 'C 1 2/c 1'
_space_group_IT_number 15
loop_
_space_group_symop_operation_xyz
'x,y,z'
'-x,-y,-z'
'-x,y,-z+1/2'
'x,-y,z+1/2'
'x+1/2,y+1/2,z'
'-x+1/2,-y+1/2,-z'
'-x+1/2,y+1/2,-z+1/2'
'x+1/2,-y+1/2,z+1/2'
loop_
_atom_site_label
_atom_site_type_symbol
_atom_site_fract_x
_atom_site_fract_y
_atom_site_fract_z
Cu1 Cu 0.1913 0.0983 0.3115
Rh1 Rh 0.0000 0.4113 0.2500
Se1 Se 0.0000 0.2190 0.7500
O1 O 0.1034 0.2527 0.0983
O2 O 0.1082 0.4227 0.6035
O3 O 0.1223 0.0965 0.6565
```